The following is a PBE-GGA calculation of Lu2ScIn after structural relaxation, from the Open Quantum Materials Database.

a = 5.234 Å, b = 5.234 Å, c = 5.234 Å
α = 60.00°, β = 60.00°, γ = 60.00°
Sites, in units of the cell vectors:
Lu (0.000, 0.000, 0.000)
Lu (0.250, 0.250, 0.250)
Sc (0.750, 0.750, 0.750)
In (0.500, 0.500, 0.500)

Output
Electronic total energy: -18.57 eV for the cell shown
SG: No. 216